VASP calculation (PBE-GGA) on Bi3PdI after structural relaxation.

The structure in CIF format:
```
data_Bi3PdI
_symmetry_space_group_name_H-M 'P 1'
_symmetry_Int_Tables_number 1
_symmetry_space_group_name_Hall 'P 1'
_cell_length_a 7.322
_cell_length_b 8.251
_cell_length_c 7.371
_cell_angle_alpha 117.20
_cell_angle_beta 119.78
_cell_angle_gamma 90.00
loop_
_atom_site_label
_atom_site_fract_x
_atom_site_fract_y
_atom_site_fract_z
Bi1 0.930 0.750 0.315
Bi2 0.069 0.248 0.139
Bi3 0.385 0.750 0.315
Bi4 0.615 0.250 0.685
Bi5 0.070 0.250 0.685
Bi6 0.931 0.752 0.861
Pd1 0.821 0.963 0.642
Pd2 0.179 0.037 0.358
I1 0.396 0.688 0.791
I2 0.604 0.312 0.209
```

***

VASP calculation (PBE-GGA) on Bi2Pd2I after structural relaxation.

The structure in CIF format:
```
data_Bi2Pd2I
_symmetry_space_group_name_H-M 'P 1'
_symmetry_Int_Tables_number 1
_symmetry_space_group_name_Hall 'P 1'
_cell_length_a 8.122
_cell_length_b 8.122
_cell_length_c 3.740
_cell_angle_alpha 90.00
_cell_angle_beta 90.00
_cell_angle_gamma 90.00
loop_
_atom_site_label
_atom_site_fract_x
_atom_site_fract_y
_atom_site_fract_z
I1 0.000 0.000 0.000
I2 0.500 0.500 0.000
Bi1 0.145 0.645 0.500
Bi2 0.645 0.855 0.500
Bi3 0.855 0.355 0.500
Bi4 0.355 0.145 0.500
Pd1 0.370 0.870 0.000
Pd2 0.870 0.630 0.000
Pd3 0.630 0.130 0.000
Pd4 0.130 0.370 0.000
```

***

VASP calculation (PBE-GGA) on BiPdI after structural relaxation.

The structure in CIF format:
```
data_BiPdI
_symmetry_space_group_name_H-M 'P 1'
_symmetry_Int_Tables_number 1
_symmetry_space_group_name_Hall 'P 1'
_cell_length_a 8.107
_cell_length_b 8.392
_cell_length_c 8.392
_cell_angle_alpha 57.37
_cell_angle_beta 61.79
_cell_angle_gamma 61.75
loop_
_atom_site_label
_atom_site_fract_x
_atom_site_fract_y
_atom_site_fract_z
Bi1 0.182 0.611 0.861
Bi2 0.818 0.889 0.639
Bi3 0.818 0.389 0.139
Bi4 0.182 0.111 0.361
Pd1 0.017 0.490 0.740
Pd2 0.017 0.990 0.240
Pd3 0.983 0.510 0.260
Pd4 0.983 0.010 0.760
I1 0.750 0.414 0.664
I2 0.750 0.914 0.164
I3 0.250 0.586 0.336
I4 0.250 0.086 0.836
```

***

VASP calculation (PBE-GGA) on BiPdI3 after structural relaxation.

The structure in CIF format:
```
data_BiPdI3
_symmetry_space_group_name_H-M 'P 1'
_symmetry_Int_Tables_number 1
_symmetry_space_group_name_Hall 'P 1'
_cell_length_a 6.155
_cell_length_b 6.155
_cell_length_c 6.155
_cell_angle_alpha 90.00
_cell_angle_beta 90.00
_cell_angle_gamma 90.00
loop_
_atom_site_label
_atom_site_fract_x
_atom_site_fract_y
_atom_site_fract_z
I1 0.000 0.500 0.000
I2 0.000 0.000 0.500
I3 0.500 0.000 0.000
Bi1 0.000 0.000 0.000
Pd1 0.500 0.500 0.500
```

***

Polymorph energy (0 for the lowest one), respectively: 0.0000; 0.1101; 0.0169; 0.2776 eV/atom.
Ρ, respectively: 8.7; 10.2; 7.3; 5.0 g cm⁻³.